Record 1
Computed, not measured: a relaxed structure of Ti2OsW2 at the GGA-PBE level of DFT.

The formation energy from the elements is 958 meV/atom. The density comes out at 12.87 g/cm³.

abc: 3.4445 3.4445 14.2142
angles: 90.00 90.00 90.00
Space group I4/mmm (No. 139)
Unique sites:
Ti 0.0000 0.5000 0.2500 x4
Os 0.0000 0.0000 0.0000 x2
W 0.0000 0.0000 0.4093 x4

***

Record 2
Computed, not measured: a relaxed structure of Al2RuCl at the GGA-PBE level of DFT.

The density comes out at 3.51 g/cm³. For the energy relative to the elements, uncorrected, the calculation gives -0.1433 eV/atom.

abc: 3.2703 3.5926 7.6599
angles: 90.00 90.00 90.00
Space group Pmm2 (No. 25)
Unique sites:
Al 0.0000 0.0000 0.0000 x1
Al 0.5000 0.5000 0.2920 x1
Ru 0.5000 0.5000 0.9909 x1
Cl 0.0000 0.0000 0.4527 x1

***

Record 3
Computed, not measured: a relaxed structure of BaLa2Se at the GGA-PBE level of DFT.

The density comes out at 5.28 g/cm³. For the energy relative to the elements, uncorrected, the calculation gives -0.6663 eV/atom.

abc: 3.9568 4.6162 17.0105
angles: 90.00 90.00 90.00
Space group Imm2 (No. 44)
Unique sites:
Ba 0.0000 0.0000 0.0000 x2
La 0.0000 0.0000 0.6626 x2
La 0.0000 0.5000 0.8160 x2
Se 0.0000 0.5000 0.3154 x2

***

Record 4
Computed, not measured: a relaxed structure of ZrCuRe2 at the GGA-PBE level of DFT.

The formation energy from the elements is 208 meV/atom. The density comes out at 13.54 g/cm³.

abc: 3.2949 3.2949 5.9562
angles: 90.00 90.00 90.00
Space group P4/mmm (No. 123)
Unique sites:
Zr 0.0000 0.0000 0.0000 x1
Cu 0.0000 0.0000 0.5000 x1
Re 0.5000 0.5000 0.2934 x2

***

Record 5
Computed, not measured: a relaxed structure of RbPd3I at the GGA-PBE level of DFT.

The density comes out at 6.42 g/cm³. For the energy relative to the elements, uncorrected, the calculation gives 0.1151 eV/atom.

abc: 5.1602 5.1602 5.1602
angles: 90.00 90.00 90.00
Space group Pm-3m (No. 221)
Unique sites:
Rb 0.0000 0.0000 0.0000 x1
Pd 0.0000 0.5000 0.5000 x3
I 0.5000 0.5000 0.5000 x1

***

Record 6
Computed, not measured: a relaxed structure of VPdPb2 at the GGA-PBE level of DFT.

The formation energy from the elements is 236 meV/atom. The density comes out at 11.25 g/cm³.

abc: 6.9639 6.9639 6.9639
angles: 90.00 90.00 90.00
Space group Fm-3m (No. 225)
Unique sites:
V 0.0000 0.0000 0.0000 x4
Pd 0.0000 0.0000 0.5000 x4
Pb 0.2500 0.2500 0.2500 x8

***

Record 7
Computed, not measured: a relaxed structure of LaNd6Sm2Mg at the GGA-PBE level of DFT.

The formation energy from the elements is 98 meV/atom. The density comes out at 6.43 g/cm³.

abc: 10.4237 13.8949 9.6588
angles: 90.00 101.22 90.00
Space group C2/c (No. 15)
Unique sites:
La 0.0000 0.0657 0.2500 x4
Nd 0.0524 0.3817 0.0954 x8
Nd 0.0944 0.1735 0.9250 x8
Nd 0.2472 0.2159 0.3290 x8
Sm 0.2368 0.0320 0.5931 x8
Mg 0.0000 0.4000 0.7500 x4

***

Record 8
Computed, not measured: a relaxed structure of NaReN2F at the GGA-PBE level of DFT.

The density comes out at 7.44 g/cm³. For the energy relative to the elements, uncorrected, the calculation gives 2.0408 eV/atom.

abc: 4.0135 4.0135 3.5486
angles: 90.00 90.00 90.00
Space group P4/mmm (No. 123)
Unique sites:
Na 0.0000 0.0000 0.0000 x1
Re 0.5000 0.5000 0.5000 x1
N 0.0000 0.5000 0.0000 x2
F 0.0000 0.0000 0.5000 x1

***

Record 9
Computed, not measured: a relaxed structure of Pm6Mg2Ni at the GGA-PBE level of DFT.

The formation energy from the elements is 137 meV/atom. The density comes out at 5.71 g/cm³.

abc: 17.5072 8.7047 3.8245
angles: 90.00 102.56 90.00
Space group C2/m (No. 12)
Unique sites:
Pm 0.0000 0.2278 0.0000 x4
Pm 0.1687 0.1955 0.6684 x8
Mg 0.1547 0.5000 0.1539 x4
Ni 0.0000 0.0000 0.5000 x2

***

Record 10
Computed, not measured: a relaxed structure of NaVCuCl2 at the GGA-PBE level of DFT.

The density comes out at 2.64 g/cm³. For the energy relative to the elements, uncorrected, the calculation gives 0.6031 eV/atom.

abc: 4.8886 4.8886 5.4813
angles: 90.00 90.00 90.00
Space group P4/mmm (No. 123)
Unique sites:
Na 0.0000 0.0000 0.0000 x1
V 0.0000 0.0000 0.5000 x1
Cu 0.5000 0.5000 0.5000 x1
Cl 0.0000 0.5000 0.0000 x2

***

Record 11
Computed, not measured: a relaxed structure of K3Rb2O2 at the GGA-PBE level of DFT.

The density comes out at 2.01 g/cm³. For the energy relative to the elements, uncorrected, the calculation gives -0.8160 eV/atom.

abc: 16.2135 3.7879 11.5281
angles: 90.00 131.64 90.00
Space group C2/m (No. 12)
Unique sites:
K 0.0000 0.0000 0.0000 x2
K 0.1377 0.0000 0.8887 x4
Rb 0.2266 0.5000 0.6954 x4
O 0.1700 0.5000 0.0756 x4

***

Record 12
Computed, not measured: a relaxed structure of SrSnSb at the GGA-PBE level of DFT.

The density comes out at 5.15 g/cm³. For the energy relative to the elements, uncorrected, the calculation gives -0.5611 eV/atom.

abc: 4.2525 18.0130 5.5218
angles: 90.00 90.00 90.00
Space group Cmcm (No. 63)
Unique sites:
Sr 0.0000 0.1656 0.2500 x4
Sn 0.0000 0.0331 0.7500 x4
Sb 0.0000 0.3511 0.2500 x4

***

Record 13
Computed, not measured: a relaxed structure of InTe2P at the GGA-PBE level of DFT.

The density comes out at 5.63 g/cm³. For the energy relative to the elements, uncorrected, the calculation gives 0.2006 eV/atom.

abc: 3.5163 3.5163 9.5657
angles: 90.00 90.00 90.00
Space group P4mm (No. 99)
Unique sites:
In 0.0000 0.0000 0.0000 x1
Te 0.0000 0.0000 0.3943 x1
Te 0.5000 0.5000 0.7705 x1
P 0.5000 0.5000 0.2807 x1

***

Record 14
Computed, not measured: a relaxed structure of Ac4La3UN8 at the GGA-PBE level of DFT.

The density comes out at 9.19 g/cm³. For the energy relative to the elements, uncorrected, the calculation gives -1.2075 eV/atom.

abc: 7.5079 7.5079 18.6048
angles: 90.00 90.00 120.00
Space group R-3m (No. 166, hexagonal axes)
Unique sites:
Ac 0.0000 0.0000 0.0000 x3
Ac 0.0000 0.5000 0.0000 x9
La 0.0000 0.5000 0.5000 x9
U 0.0000 0.0000 0.5000 x3
N 0.0000 0.0000 0.2454 x6
N 0.0416 0.5208 0.2363 x18

***

Record 15
Computed, not measured: a relaxed structure of Sr4LiSn12 at the GGA-PBE level of DFT.

The formation energy from the elements is -388 meV/atom. The density comes out at 6.09 g/cm³.

abc: 9.9064 9.9064 9.9064
angles: 90.00 90.00 90.00
Space group Im-3m (No. 229)
Unique sites:
Sr 0.2500 0.2500 0.2500 x8
Li 0.0000 0.0000 0.0000 x2
Sn 0.0000 0.0000 0.2901 x12
Sn 0.0000 0.2500 0.5000 x12

***

Record 16
Computed, not measured: a relaxed structure of MgH3Rh at the GGA-PBE level of DFT.

The final energy comes out at -3.82 eV/atom. The density comes out at 4.68 g/cm³.

abc: 3.2996 3.2996 16.9740
angles: 90.00 90.00 90.00
Space group I-4m2 (No. 119)
Unique sites:
Mg 0.0000 0.0000 0.1089 x4
H 0.0000 0.2012 0.3276 x8
H 0.0000 0.5000 0.5364 x4
Rh 0.0000 0.0000 0.5000 x2
Rh 0.0000 0.5000 0.2500 x2

***

Record 17
Computed, not measured: a relaxed structure of Ru4O at the GGA-PBE level of DFT.

The density comes out at 10.65 g/cm³. For the energy relative to the elements, uncorrected, the calculation gives 0.4302 eV/atom.

abc: 4.0313 4.0313 4.0313
angles: 90.00 90.00 90.00
Space group Pm-3m (No. 221)
Unique sites:
Ru 0.0000 0.0000 0.0000 x1
Ru 0.0000 0.5000 0.5000 x3
O 0.5000 0.5000 0.5000 x1

***

Record 18
Computed, not measured: a relaxed structure of KAcCuSb at the GGA-PBE level of DFT.

The density comes out at 5.97 g/cm³. For the energy relative to the elements, uncorrected, the calculation gives -0.3072 eV/atom.

abc: 7.9488 7.9488 7.9488
angles: 90.00 90.00 90.00
Space group F-43m (No. 216)
Unique sites:
K 0.0000 0.0000 0.0000 x4
Ac 0.0000 0.0000 0.5000 x4
Cu 0.2500 0.2500 0.7500 x4
Sb 0.2500 0.2500 0.2500 x4

***

Record 19
Computed, not measured: a relaxed structure of Tb4Ho3 at the GGA-PBE level of DFT.

The formation energy from the elements is 16 meV/atom. The density comes out at 8.58 g/cm³.

abc: 11.1763 5.0009 7.9092
angles: 90.00 98.14 90.00
Space group C2/m (No. 12)
Unique sites:
Tb 0.1428 0.0000 0.4280 x4
Tb 0.2143 0.5000 0.1424 x4
Ho 0.0000 0.0000 0.0000 x2
Ho 0.0714 0.5000 0.7141 x4

***

Record 20
Computed, not measured: a relaxed structure of Tl2PRh at the GGA-PBE level of DFT.

The formation energy from the elements is 505 meV/atom. The density comes out at 10.94 g/cm³.

abc: 6.9057 6.9057 6.9057
angles: 90.00 90.00 90.00
Space group F-43m (No. 216)
Unique sites:
Tl 0.0000 0.0000 0.0000 x4
Tl 0.2500 0.2500 0.2500 x4
P 0.0000 0.0000 0.5000 x4
Rh 0.2500 0.2500 0.7500 x4

***

Record 21
Computed, not measured: a relaxed structure of Fe3HW at the GGA-PBE level of DFT.

The final energy comes out at -8.29 eV/atom. The density comes out at 12.01 g/cm³.

abc: 8.3543 5.1783 6.1293
angles: 90.00 132.69 90.00
Space group Cm (No. 8)
Unique sites:
Fe 0.0000 0.0000 0.0000 x2
Fe 0.0754 0.0000 0.6745 x2
Fe 0.2526 0.2500 0.5101 x4
Fe 0.3272 0.2539 0.1656 x4
H 0.0341 0.0000 0.3439 x2
H 0.2805 0.0000 0.3148 x2
W 0.1001 0.5000 0.6746 x2
W 0.4855 0.0000 0.0100 x2

***

Record 22
Computed, not measured: a relaxed structure of TiSbTeI2 at the GGA-PBE level of DFT.

The density comes out at 5.68 g/cm³. For the energy relative to the elements, uncorrected, the calculation gives 0.0799 eV/atom.

abc: 5.2513 5.2513 5.8459
angles: 90.00 90.00 90.00
Space group P4/mmm (No. 123)
Unique sites:
Ti 0.0000 0.0000 0.0000 x1
Sb 0.0000 0.0000 0.5000 x1
Te 0.5000 0.5000 0.5000 x1
I 0.0000 0.5000 0.0000 x2

***

Record 23
Computed, not measured: a relaxed structure of Ti6GaPb at the GGA-PBE level of DFT.

The formation energy from the elements is 201 meV/atom. The density comes out at 5.98 g/cm³.

abc: 8.0051 5.3804 7.4916
angles: 90.00 103.70 90.00
Space group C2/m (No. 12)
Unique sites:
Ti 0.1243 0.0000 0.4318 x4
Ti 0.2019 0.2471 0.7820 x8
Ga 0.0000 0.5000 0.5000 x2
Pb 0.0000 0.0000 0.0000 x2

***

Record 24
Computed, not measured: a relaxed structure of Na2GaSb at the GGA-PBE level of DFT.

The density comes out at 4.09 g/cm³. For the energy relative to the elements, uncorrected, the calculation gives -0.1790 eV/atom.

abc: 4.4813 4.4813 4.8043
angles: 90.00 90.00 90.00
Space group P4/mmm (No. 123)
Unique sites:
Na 0.0000 0.5000 0.0000 x2
Ga 0.0000 0.0000 0.5000 x1
Sb 0.5000 0.5000 0.5000 x1

***

Record 25
Computed, not measured: a relaxed structure of CrCoS2N at the GGA-PBE level of DFT.

The density comes out at 4.32 g/cm³. For the energy relative to the elements, uncorrected, the calculation gives 0.3856 eV/atom.

abc: 4.6490 4.6490 3.3643
angles: 90.00 90.00 90.00
Space group P4/mmm (No. 123)
Unique sites:
Cr 0.0000 0.0000 0.0000 x1
Co 0.5000 0.5000 0.5000 x1
S 0.0000 0.5000 0.5000 x2
N 0.5000 0.5000 0.0000 x1

***

Record 26
Computed, not measured: a relaxed structure of Zn2GaRePd at the GGA-PBE level of DFT.

The formation energy from the elements is 1183 meV/atom. The density comes out at 8.87 g/cm³.

abc: 4.4921 4.4921 4.5757
angles: 90.00 90.00 90.00
Space group P4/mmm (No. 123)
Unique sites:
Zn 0.0000 0.5000 0.0000 x2
Ga 0.0000 0.0000 0.0000 x1
Re 0.5000 0.5000 0.5000 x1
Pd 0.0000 0.0000 0.5000 x1